1.
! NaIn2Se2 GGA-PBE optimized geometry; values from VASP
! SG = C2/m
! Formation energy (no corrections) = -0.50 eV per atom
! Energy above the most stable polymorph in this dataset = 0.00 kJ per mole of atoms
! E_tot = -3.25 eV per atom
! Size of the total moment = 0.00 μB per cell
&SYSTEM
  ibrav = 0, nat = 10, ntyp = 3
/
ATOMIC_SPECIES
Na 22.99 Na.upf
In 114.82 In.upf
Se 78.96 Se.upf
CELL_PARAMETERS angstrom
-2.9196 -1.6255 5.2419
5.4561 -3.6590 6.3681
-0.2021 8.3410 -3.4440
ATOMIC_POSITIONS crystal
Na 0.1410 0.6410 0.7820
Na 0.8590 0.3590 0.2180
In 0.5898 0.2594 0.5000
In 0.1232 0.1232 0.7464
In 0.4102 0.7406 0.5000
In 0.8768 0.8768 0.2536
Se 0.6526 0.6526 0.8051
Se 0.8043 0.7759 0.5000
Se 0.1957 0.2241 0.5000
Se 0.3474 0.3474 0.1949

2.
! Ba2HoGaSe5 GGA-PBE optimized geometry; values from VASP
! SG = Cmc2_1
! Formation energy (no corrections) = -1.65 eV per atom
! E_tot = -4.85 eV per atom
! Size of the total moment = 0.00 μB per cell
&SYSTEM
  ibrav = 0, nat = 18, ntyp = 4
/
ATOMIC_SPECIES
Ba 137.33 Ba.upf
Ho 164.93 Ho.upf
Ga 69.72 Ga.upf
Se 78.96 Se.upf
CELL_PARAMETERS angstrom
4.2214 0.0000 0.0000
-2.1107 9.6017 0.0000
0.0000 0.0000 13.4454
ATOMIC_POSITIONS crystal
Ba 0.8732 0.7464 0.8249
Ba 0.1217 0.2433 0.6862
Ba 0.1268 0.2536 0.3249
Ba 0.8783 0.7567 0.1862
Ho 0.7945 0.5890 0.5262
Ho 0.2055 0.4110 0.0262
Ga 0.5608 0.1215 0.9292
Ga 0.4392 0.8785 0.4292
Se 0.3485 0.6971 0.0074
Se 0.6855 0.3710 0.8762
Se 0.5004 0.0008 0.7743
Se 0.2965 0.5930 0.6663
Se 0.9523 0.9046 0.5333
Se 0.6515 0.3029 0.5074
Se 0.3145 0.6290 0.3762
Se 0.4996 0.9992 0.2743
Se 0.7035 0.4070 0.1663
Se 0.0477 0.0954 0.0333

3.
! PS3F GGA-PBE optimized geometry; values from VASP
! SG = P1
! Formation energy (no corrections) = -0.66 eV per atom
! Energy above the most stable polymorph in this dataset = 0.00 kJ per mole of atoms
! E_tot = -4.60 eV per atom
! Size of the total moment = 0.00 μB per cell
&SYSTEM
  ibrav = 0, nat = 10, ntyp = 3
/
ATOMIC_SPECIES
P 30.97 P.upf
S 32.06 S.upf
F 19.00 F.upf
CELL_PARAMETERS angstrom
-0.2208 7.2531 -0.0240
-0.2147 -2.6056 -6.5576
-6.3006 -0.1754 0.2982
ATOMIC_POSITIONS crystal
P 0.0682 0.7138 0.4485
P 0.5680 0.2133 0.1988
S 0.6871 0.2969 0.5123
S 0.4871 0.8880 0.1586
S 0.9862 0.3886 0.4886
S 0.1881 0.7953 0.1348
S 0.8713 0.8231 0.5187
S 0.3706 0.3214 0.1289
F 0.2647 0.7838 0.5897
F 0.7648 0.2834 0.0573

4.
! TaCuSi GGA-PBE optimized geometry; values from VASP
! SG = I4mm
! Formation energy (no corrections) = 0.00 eV per atom
! E_tot = -7.13 eV per atom
! Size of the total moment = 0.00 μB per cell
&SYSTEM
  ibrav = 0, nat = 3, ntyp = 3
/
ATOMIC_SPECIES
Cu 63.55 Cu.upf
Si 28.09 Si.upf
Ta 180.95 Ta.upf
CELL_PARAMETERS angstrom
5.4008 -0.0119 0.0000
3.8134 3.8245 0.0000
-4.6071 -1.9063 2.0759
ATOMIC_POSITIONS crystal
Cu 0.0176 0.0176 0.0000
Si 0.6499 0.6499 0.0000
Ta 0.3324 0.3324 0.0000

Please write out number 1 again, unchanged.
! NaIn2Se2 GGA-PBE optimized geometry; values from VASP
! SG = C2/m
! Formation energy (no corrections) = -0.50 eV per atom
! Energy above the most stable polymorph in this dataset = 0.00 kJ per mole of atoms
! E_tot = -3.25 eV per atom
! Size of the total moment = 0.00 μB per cell
&SYSTEM
  ibrav = 0, nat = 10, ntyp = 3
/
ATOMIC_SPECIES
Na 22.99 Na.upf
In 114.82 In.upf
Se 78.96 Se.upf
CELL_PARAMETERS angstrom
-2.9196 -1.6255 5.2419
5.4561 -3.6590 6.3681
-0.2021 8.3410 -3.4440
ATOMIC_POSITIONS crystal
Na 0.1410 0.6410 0.7820
Na 0.8590 0.3590 0.2180
In 0.5898 0.2594 0.5000
In 0.1232 0.1232 0.7464
In 0.4102 0.7406 0.5000
In 0.8768 0.8768 0.2536
Se 0.6526 0.6526 0.8051
Se 0.8043 0.7759 0.5000
Se 0.1957 0.2241 0.5000
Se 0.3474 0.3474 0.1949